Mg3In: single point on PBEsol structure, SCAN.

Summary:
- Formation enthalpy at 0 K: -0.38 eV/f.u.

Unit cell a=3.7563 b=3.7563 c=6.3965 alpha=90.00 beta=90.00 gamma=90.00
Space group P4/mmm (No. 123)
Symmetry-distinct sites (fractional):
Mg1 0.0000 0.0000 0.0000 (multiplicity 1)
Mg2 0.5000 0.5000 0.2512 (multiplicity 2)
In1 0.0000 0.0000 0.5000 (multiplicity 1)

MgMnIn3: single point on PBEsol structure, SCAN.

Summary:
- Formation enthalpy at 0 K: 2.98 eV/f.u.

Unit cell a=5.2839 b=5.2839 c=5.2839 alpha=90.00 beta=90.00 gamma=90.00
Space group Pm-3m (No. 221)
Symmetry-distinct sites (fractional):
Mg1 0.0000 0.0000 0.0000 (multiplicity 1)
Mn1 0.5000 0.5000 0.5000 (multiplicity 1)
In1 0.0000 0.0000 0.5000 (multiplicity 3)

Number 1: total magnetic moment 0.00 μB/f.u.. Number 2: total magnetic moment 4.79 μB/f.u..